VASP calculation (PBE with a Hubbard U) on a relaxed structure of Ba2ZnWO6.

abc: 5.837 5.837 5.840
angles: 119.98 119.98 90.00
Element x y z (fractional)
Ba  0.250  0.750  0.500
O  0.762  0.237  0.000
O  0.238  0.763  0.000
O  0.237  0.238  0.000
Zn  0.500  0.500  0.000
Ba  0.750  0.250  0.500
W  0.000  0.000  0.000
O  0.763  0.762  0.000
O  0.763  0.763  0.525
O  0.237  0.237  0.475

Output
Electronic total energy   -0.483 Ry per atom